(1)
# Fe2RhAu, optimized geometry, DFT PBE
# E_form (meV per atom): 42
# Size of the total moment (μB per cell): 6.94
# N(E_F) (states/eV per cell): 3.13
# Uncorrected energy (eV/cell): -27.388
data_Fe2RhAu
_chemical_formula_sum 'Fe2 Rh1 Au1'
_symmetry_space_group_name_H-M 'P 4/m m m'
_symmetry_Int_Tables_number 123
_symmetry_space_group_name_Hall '-P 4 2'
_cell_length_a 3.893
_cell_length_b 3.893
_cell_length_c 3.771
_cell_angle_alpha 90.00
_cell_angle_beta 90.00
_cell_angle_gamma 90.00
loop_
_atom_site_label
_atom_site_type_symbol
_atom_site_fract_x
_atom_site_fract_y
_atom_site_fract_z
Fe1 Fe 0.000 0.500 0.000
Rh1 Rh 0.000 0.000 0.500
Au1 Au 0.500 0.500 0.500

(2)
# FeRh2Au, optimized geometry, DFT PBE
# E_form (meV per atom): 91
# Size of the total moment (μB per cell): 3.33
# N(E_F) (states/eV per cell): 6.51
# Uncorrected energy (eV/cell): -26.079
data_FeRh2Au
_chemical_formula_sum 'Fe1 Rh2 Au1'
_symmetry_space_group_name_H-M 'P m m 2'
_symmetry_Int_Tables_number 25
_symmetry_space_group_name_Hall 'P 2 -2'
_cell_length_a 2.766
_cell_length_b 3.808
_cell_length_c 5.617
_cell_angle_alpha 90.00
_cell_angle_beta 90.00
_cell_angle_gamma 90.00
loop_
_atom_site_label
_atom_site_type_symbol
_atom_site_fract_x
_atom_site_fract_y
_atom_site_fract_z
Fe1 Fe 0.000 0.000 0.000
Rh1 Rh 0.000 0.000 0.460
Rh2 Rh 0.500 0.500 0.226
Au1 Au 0.500 0.500 0.737

(3)
# Fe2RhAu, optimized geometry, DFT PBE
# E_form (meV per atom): 173
# Size of the total moment (μB per cell): 25.87
# N(E_F) (states/eV per cell): 15.73
# Uncorrected energy (eV/cell): -107.447
data_Fe2RhAu
_chemical_formula_sum 'Fe8 Rh4 Au4'
_symmetry_space_group_name_H-M 'F -4 3 m'
_symmetry_Int_Tables_number 216
_symmetry_space_group_name_Hall 'F -4 2 3'
_cell_length_a 6.139
_cell_length_b 6.139
_cell_length_c 6.139
_cell_angle_alpha 90.00
_cell_angle_beta 90.00
_cell_angle_gamma 90.00
loop_
_atom_site_label
_atom_site_type_symbol
_atom_site_fract_x
_atom_site_fract_y
_atom_site_fract_z
Fe1 Fe 0.000 0.000 0.000
Fe2 Fe 0.250 0.250 0.250
Rh1 Rh 0.250 0.250 0.750
Au1 Au 0.000 0.000 0.500

(4)
# Fe2RhAu2, optimized geometry, DFT PBE
# E_form (meV per atom): 285
# Size of the total moment (μB per cell): 14.06
# N(E_F) (states/eV per cell): 9.66
# Uncorrected energy (eV/cell): -58.814
data_Fe2RhAu2
_chemical_formula_sum 'Fe4 Rh2 Au4'
_symmetry_space_group_name_H-M 'P 4/m b m'
_symmetry_Int_Tables_number 127
_symmetry_space_group_name_Hall '-P 4 2ab'
_cell_length_a 6.464
_cell_length_b 6.464
_cell_length_c 3.759
_cell_angle_alpha 90.00
_cell_angle_beta 90.00
_cell_angle_gamma 90.00
loop_
_atom_site_label
_atom_site_type_symbol
_atom_site_fract_x
_atom_site_fract_y
_atom_site_fract_z
Fe1 Fe 0.127 0.373 0.000
Rh1 Rh 0.000 0.000 0.000
Au1 Au 0.172 0.672 0.500

(5)
# FeRh2Au, optimized geometry, DFT PBE
# E_form (meV per atom): 86
# Size of the total moment (μB per cell): 9.69
# N(E_F) (states/eV per cell): 9.30
# Uncorrected energy (eV/cell): -52.199
data_FeRh2Au
_chemical_formula_sum 'Fe2 Rh4 Au2'
_symmetry_space_group_name_H-M 'I -4 m 2'
_symmetry_Int_Tables_number 119
_symmetry_space_group_name_Hall 'I -4 -2'
_cell_length_a 3.886
_cell_length_b 3.886
_cell_length_c 7.857
_cell_angle_alpha 90.00
_cell_angle_beta 90.00
_cell_angle_gamma 90.00
loop_
_atom_site_label
_atom_site_type_symbol
_atom_site_fract_x
_atom_site_fract_y
_atom_site_fract_z
Fe1 Fe 0.000 0.000 0.000
Rh1 Rh 0.000 0.000 0.500
Rh2 Rh 0.000 0.500 0.250
Au1 Au 0.000 0.500 0.750

(6)
# FeRhAu2, optimized geometry, DFT PBE
# E_form (meV per atom): 223
# Size of the total moment (μB per cell): 10.55
# N(E_F) (states/eV per cell): 14.22
# Uncorrected energy (eV/cell): -64.428
data_FeRhAu2
_chemical_formula_sum 'Fe3 Rh3 Au6'
_symmetry_space_group_name_H-M 'R -3 m'
_symmetry_Int_Tables_number 166
_symmetry_space_group_name_Hall '-R 3 2"'
_cell_length_a 2.8227
_cell_length_b 2.8227
_cell_length_c 27.3656
_cell_angle_alpha 90.00
_cell_angle_beta 90.00
_cell_angle_gamma 120.00
loop_
_atom_site_label
_atom_site_type_symbol
_atom_site_fract_x
_atom_site_fract_y
_atom_site_fract_z
Fe1 Fe 0.0000 0.0000 0.0000
Rh1 Rh 0.0000 0.0000 0.5000
Au1 Au 0.0000 0.0000 0.2528

(7)
# FeRhAu2, optimized geometry, DFT PBE
# E_form (meV per atom): 173
# Size of the total moment (μB per cell): 3.35
# N(E_F) (states/eV per cell): 4.92
# Uncorrected energy (eV/cell): -21.677
data_FeRhAu2
_chemical_formula_sum 'Fe1 Rh1 Au2'
_symmetry_space_group_name_H-M 'P 4/m m m'
_symmetry_Int_Tables_number 123
_symmetry_space_group_name_Hall '-P 4 2'
_cell_length_a 2.823
_cell_length_b 2.823
_cell_length_c 7.855
_cell_angle_alpha 90.00
_cell_angle_beta 90.00
_cell_angle_gamma 90.00
loop_
_atom_site_label
_atom_site_type_symbol
_atom_site_fract_x
_atom_site_fract_y
_atom_site_fract_z
Fe1 Fe 0.000 0.000 0.000
Rh1 Rh 0.000 0.000 0.500
Au1 Au 0.500 0.500 0.240

(8)
# FeRh2Au, optimized geometry, DFT PBE
# E_form (meV per atom): 139
# Size of the total moment (μB per cell): 6.47
# N(E_F) (states/eV per cell): 15.27
# Uncorrected energy (eV/cell): -77.665
data_FeRh2Au
_chemical_formula_sum 'Fe3 Rh6 Au3'
_symmetry_space_group_name_H-M 'R 3 m'
_symmetry_Int_Tables_number 160
_symmetry_space_group_name_Hall 'R 3 -2"'
_cell_length_a 2.7693
_cell_length_b 2.7693
_cell_length_c 26.6878
_cell_angle_alpha 90.00
_cell_angle_beta 90.00
_cell_angle_gamma 120.00
loop_
_atom_site_label
_atom_site_type_symbol
_atom_site_fract_x
_atom_site_fract_y
_atom_site_fract_z
Fe1 Fe 0.0000 0.0000 0.0000
Rh1 Rh 0.0000 0.0000 0.4917
Rh2 Rh 0.0000 0.0000 0.7424
Au1 Au 0.0000 0.0000 0.2486

(9)
# FeRhAu2, optimized geometry, DFT PBE
# E_form (meV per atom): 466
# Size of the total moment (μB per cell): 16.34
# N(E_F) (states/eV per cell): 18.55
# Uncorrected energy (eV/cell): -82.018
data_FeRhAu2
_chemical_formula_sum 'Fe4 Rh4 Au8'
_symmetry_space_group_name_H-M 'I -4 2 d'
_symmetry_Int_Tables_number 122
_symmetry_space_group_name_Hall 'I -4 2bw'
_cell_length_a 7.242
_cell_length_b 7.242
_cell_length_c 5.298
_cell_angle_alpha 90.00
_cell_angle_beta 90.00
_cell_angle_gamma 90.00
loop_
_atom_site_label
_atom_site_type_symbol
_atom_site_fract_x
_atom_site_fract_y
_atom_site_fract_z
Fe1 Fe 0.000 0.000 0.000
Rh1 Rh 0.000 0.000 0.500
Au1 Au 0.235 0.250 0.125

(10)
# FeRhAu2, optimized geometry, DFT PBE
# E_form (meV per atom): 82
# Size of the total moment (μB per cell): 7.93
# N(E_F) (states/eV per cell): 5.02
# Uncorrected energy (eV/cell): -44.081
data_FeRhAu2
_chemical_formula_sum 'Fe2 Rh2 Au4'
_symmetry_space_group_name_H-M 'I m m 2'
_symmetry_Int_Tables_number 44
_symmetry_space_group_name_Hall 'I 2 -2'
_cell_length_a 4.010
_cell_length_b 4.035
_cell_length_c 7.792
_cell_angle_alpha 90.00
_cell_angle_beta 90.00
_cell_angle_gamma 90.00
loop_
_atom_site_label
_atom_site_type_symbol
_atom_site_fract_x
_atom_site_fract_y
_atom_site_fract_z
Fe1 Fe 0.000 0.000 0.000
Rh1 Rh 0.000 0.500 0.748
Au1 Au 0.000 0.000 0.499
Au2 Au 0.000 0.500 0.250

(11)
# FeRh2Au, optimized geometry, DFT PBE
# E_form (meV per atom): 118
# Size of the total moment (μB per cell): 8.89
# N(E_F) (states/eV per cell): 10.66
# Uncorrected energy (eV/cell): -51.943
data_FeRh2Au
_chemical_formula_sum 'Fe2 Rh4 Au2'
_symmetry_space_group_name_H-M 'C 1 m 1'
_symmetry_Int_Tables_number 8
_symmetry_space_group_name_Hall 'C -2y'
_cell_length_a 9.105
_cell_length_b 2.806
_cell_length_c 4.751
_cell_angle_alpha 90.00
_cell_angle_beta 101.15
_cell_angle_gamma 90.00
loop_
_atom_site_label
_atom_site_type_symbol
_atom_site_fract_x
_atom_site_fract_y
_atom_site_fract_z
Fe1 Fe 0.000 0.000 0.000
Rh1 Rh 0.009 0.500 0.530
Rh2 Rh 0.257 0.000 0.750
Au1 Au 0.251 0.500 0.246

(12)
# Fe2RhAu, optimized geometry, DFT PBE
# E_form (meV per atom): 83
# Size of the total moment (μB per cell): 12.66
# N(E_F) (states/eV per cell): 7.06
# Uncorrected energy (eV/cell): -54.443
data_Fe2RhAu
_chemical_formula_sum 'Fe4 Rh2 Au2'
_symmetry_space_group_name_H-M 'C 1 m 1'
_symmetry_Int_Tables_number 8
_symmetry_space_group_name_Hall 'C -2y'
_cell_length_a 9.199
_cell_length_b 2.843
_cell_length_c 4.565
_cell_angle_alpha 90.00
_cell_angle_beta 107.75
_cell_angle_gamma 90.00
loop_
_atom_site_label
_atom_site_type_symbol
_atom_site_fract_x
_atom_site_fract_y
_atom_site_fract_z
Fe1 Fe 0.000 0.000 0.000
Fe2 Fe 0.221 0.500 0.280
Rh1 Rh 0.250 0.000 0.807
Au1 Au 0.478 0.000 0.488

(13)
# Fe2RhAu2, optimized geometry, DFT PBE
# E_form (meV per atom): 511
# Size of the total moment (μB per cell): 14.54
# N(E_F) (states/eV per cell): 10.00
# Uncorrected energy (eV/cell): -56.556
data_Fe2RhAu2
_chemical_formula_sum 'Fe4 Rh2 Au4'
_symmetry_space_group_name_H-M 'I 4/m m m'
_symmetry_Int_Tables_number 139
_symmetry_space_group_name_Hall '-I 4 2'
_cell_length_a 3.747
_cell_length_b 3.747
_cell_length_c 12.027
_cell_angle_alpha 90.00
_cell_angle_beta 90.00
_cell_angle_gamma 90.00
loop_
_atom_site_label
_atom_site_type_symbol
_atom_site_fract_x
_atom_site_fract_y
_atom_site_fract_z
Fe1 Fe 0.000 0.000 0.090
Rh1 Rh 0.000 0.000 0.500
Au1 Au 0.000 0.500 0.250

(14)
# FeRh2Au, optimized geometry, DFT PBE
# E_form (meV per atom): 97
# Size of the total moment (μB per cell): 7.90
# N(E_F) (states/eV per cell): 12.86
# Uncorrected energy (eV/cell): -52.111
data_FeRh2Au
_chemical_formula_sum 'Fe2 Rh4 Au2'
_symmetry_space_group_name_H-M 'I 4/m m m'
_symmetry_Int_Tables_number 139
_symmetry_space_group_name_Hall '-I 4 2'
_cell_length_a 3.927
_cell_length_b 3.927
_cell_length_c 7.652
_cell_angle_alpha 90.00
_cell_angle_beta 90.00
_cell_angle_gamma 90.00
loop_
_atom_site_label
_atom_site_type_symbol
_atom_site_fract_x
_atom_site_fract_y
_atom_site_fract_z
Fe1 Fe 0.000 0.000 0.000
Rh1 Rh 0.000 0.500 0.250
Au1 Au 0.000 0.000 0.500

(15)
# Fe2RhAu, optimized geometry, DFT PBE
# E_form (meV per atom): 135
# Size of the total moment (μB per cell): 12.89
# N(E_F) (states/eV per cell): 8.13
# Uncorrected energy (eV/cell): -54.028
data_Fe2RhAu
_chemical_formula_sum 'Fe4 Rh2 Au2'
_symmetry_space_group_name_H-M 'C 1 2/m 1'
_symmetry_Int_Tables_number 12
_symmetry_space_group_name_Hall '-C 2y'
_cell_length_a 8.860
_cell_length_b 2.797
_cell_length_c 4.716
_cell_angle_alpha 90.00
_cell_angle_beta 100.67
_cell_angle_gamma 90.00
loop_
_atom_site_label
_atom_site_type_symbol
_atom_site_fract_x
_atom_site_fract_y
_atom_site_fract_z
Fe1 Fe 0.248 0.000 0.237
Rh1 Rh 0.000 0.500 0.000
Au1 Au 0.000 0.000 0.500

(16)
# Fe2RhAu, optimized geometry, DFT PBE
# E_form (meV per atom): 53
# Size of the total moment (μB per cell): 6.65
# N(E_F) (states/eV per cell): 4.51
# Uncorrected energy (eV/cell): -27.343
data_Fe2RhAu
_chemical_formula_sum 'Fe2 Rh1 Au1'
_symmetry_space_group_name_H-M 'P m m m'
_symmetry_Int_Tables_number 47
_symmetry_space_group_name_Hall '-P 2 2'
_cell_length_a 2.780
_cell_length_b 3.724
_cell_length_c 5.538
_cell_angle_alpha 90.00
_cell_angle_beta 90.00
_cell_angle_gamma 90.00
loop_
_atom_site_label
_atom_site_type_symbol
_atom_site_fract_x
_atom_site_fract_y
_atom_site_fract_z
Fe1 Fe 0.000 0.000 0.227
Rh1 Rh 0.500 0.500 0.000
Au1 Au 0.500 0.500 0.500

(17)
# Fe2RhAu, optimized geometry, DFT PBE
# E_form (meV per atom): 121
# Size of the total moment (μB per cell): 6.40
# N(E_F) (states/eV per cell): 3.54
# Uncorrected energy (eV/cell): -27.072
data_Fe2RhAu
_chemical_formula_sum 'Fe2 Rh1 Au1'
_symmetry_space_group_name_H-M 'P 1 m 1'
_symmetry_Int_Tables_number 6
_symmetry_space_group_name_Hall 'P -2y'
_cell_length_a 2.731
_cell_length_b 4.110
_cell_length_c 5.265
_cell_angle_alpha 90.00
_cell_angle_beta 104.92
_cell_angle_gamma 90.00
loop_
_atom_site_label
_atom_site_type_symbol
_atom_site_fract_x
_atom_site_fract_y
_atom_site_fract_z
Fe1 Fe 0.000 0.000 0.000
Fe2 Fe 0.231 0.500 0.262
Rh1 Rh 0.791 0.000 0.457
Au1 Au 0.427 0.500 0.777

(18)
# FeRhAu2, optimized geometry, DFT PBE
# E_form (meV per atom): 204
# Size of the total moment (μB per cell): 13.09
# N(E_F) (states/eV per cell): 14.80
# Uncorrected energy (eV/cell): -86.219
data_FeRhAu2
_chemical_formula_sum 'Fe4 Rh4 Au8'
_symmetry_space_group_name_H-M 'F m -3 m'
_symmetry_Int_Tables_number 225
_symmetry_space_group_name_Hall '-F 4 2 3'
_cell_length_a 6.338
_cell_length_b 6.338
_cell_length_c 6.338
_cell_angle_alpha 90.00
_cell_angle_beta 90.00
_cell_angle_gamma 90.00
loop_
_atom_site_label
_atom_site_type_symbol
_atom_site_fract_x
_atom_site_fract_y
_atom_site_fract_z
Fe1 Fe 0.000 0.000 0.000
Rh1 Rh 0.000 0.000 0.500
Au1 Au 0.250 0.250 0.250

(19)
# Fe2RhAu, optimized geometry, DFT PBE
# E_form (meV per atom): 164
# Size of the total moment (μB per cell): 19.50
# N(E_F) (states/eV per cell): 16.12
# Uncorrected energy (eV/cell): -80.697
data_Fe2RhAu
_chemical_formula_sum 'Fe6 Rh3 Au3'
_symmetry_space_group_name_H-M 'R -3 m'
_symmetry_Int_Tables_number 166
_symmetry_space_group_name_Hall '-R 3 2"'
_cell_length_a 2.7507
_cell_length_b 2.7507
_cell_length_c 26.4371
_cell_angle_alpha 90.00
_cell_angle_beta 90.00
_cell_angle_gamma 120.00
loop_
_atom_site_label
_atom_site_type_symbol
_atom_site_fract_x
_atom_site_fract_y
_atom_site_fract_z
Fe1 Fe 0.0000 0.0000 0.2464
Rh1 Rh 0.0000 0.0000 0.5000
Au1 Au 0.0000 0.0000 0.0000

(20)
# Fe4Rh5Au, optimized geometry, DFT PBE
# E_form (meV per atom): 24
# Size of the total moment (μB per cell): 11.91
# N(E_F) (states/eV per cell): 16.99
# Uncorrected energy (eV/cell): -73.648
data_Fe4Rh5Au
_chemical_formula_sum 'Fe4 Rh5 Au1'
_symmetry_space_group_name_H-M 'P 4/m m m'
_symmetry_Int_Tables_number 123
_symmetry_space_group_name_Hall '-P 4 2'
_cell_length_a 2.730
_cell_length_b 2.730
_cell_length_c 18.439
_cell_angle_alpha 90.00
_cell_angle_beta 90.00
_cell_angle_gamma 90.00
loop_
_atom_site_label
_atom_site_type_symbol
_atom_site_fract_x
_atom_site_fract_y
_atom_site_fract_z
Fe1 Fe 0.000 0.000 0.097
Fe2 Fe 0.000 0.000 0.290
Rh1 Rh 0.500 0.500 0.000
Rh2 Rh 0.500 0.500 0.193
Rh3 Rh 0.500 0.500 0.382
Au1 Au 0.000 0.000 0.500